[1]
Material: Sc6CoTc2
Method: DFT, PBE
State: optimized geometry

Cell and atoms, written as CIF:
```
data_Sc6CoTc2
_space_group_name_H-M_alt 'P 1'
_space_group_IT_number 1
_space_group_name_Hall 'P 1'
_cell_length_a 5.133
_cell_length_b 5.133
_cell_length_c 8.174
_cell_angle_alpha 97.92
_cell_angle_beta 97.92
_cell_angle_gamma 55.96
loop_
_atom_site_label
_atom_site_type_symbol
_atom_site_fract_x
_atom_site_fract_y
_atom_site_fract_z
Sc1 Sc 0.041 0.041 0.306
Sc2 Sc 0.280 0.280 0.683
Sc3 Sc 0.355 0.355 0.087
Sc4 Sc 0.645 0.645 0.913
Sc5 Sc 0.720 0.720 0.317
Sc6 Sc 0.959 0.959 0.694
Co1 Co 0.000 0.000 0.000
Tc1 Tc 0.392 0.392 0.396
Tc2 Tc 0.608 0.608 0.604
```


[2]
Material: ScCoTc
Method: DFT, PBE
State: optimized geometry

Computed properties:
Relative energy among the computed polymorphs in meV per atom: 1288

Cell and atoms, written as CIF:
```
data_ScCoTc
_space_group_name_H-M_alt 'P 1'
_space_group_IT_number 1
_space_group_name_Hall 'P 1'
_cell_length_a 4.235
_cell_length_b 4.235
_cell_length_c 4.235
_cell_angle_alpha 60.00
_cell_angle_beta 60.00
_cell_angle_gamma 60.00
loop_
_atom_site_label
_atom_site_type_symbol
_atom_site_fract_x
_atom_site_fract_y
_atom_site_fract_z
Sc1 Sc 0.000 0.000 0.000
Co1 Co 0.750 0.750 0.750
Tc1 Tc 0.250 0.250 0.250
```


[3]
Material: ScCo2Tc
Method: DFT, PBE
State: optimized geometry

Computed properties:
Relative energy among the computed polymorphs in meV per atom: 163

Cell and atoms, written as CIF:
```
data_ScCo2Tc
_space_group_name_H-M_alt 'P 1'
_space_group_IT_number 1
_space_group_name_Hall 'P 1'
_cell_length_a 4.999
_cell_length_b 4.999
_cell_length_c 4.999
_cell_angle_alpha 143.75
_cell_angle_beta 129.21
_cell_angle_gamma 63.98
loop_
_atom_site_label
_atom_site_type_symbol
_atom_site_fract_x
_atom_site_fract_y
_atom_site_fract_z
Sc1 Sc 0.000 0.000 0.000
Co1 Co 0.261 0.761 0.500
Co2 Co 0.739 0.239 0.500
Tc1 Tc 0.500 0.500 0.000
```


[4]
Material: Sc2CoTc
Method: DFT, PBE
State: optimized geometry

Cell and atoms, written as CIF:
```
data_Sc2CoTc
_space_group_name_H-M_alt 'P 1'
_space_group_IT_number 1
_space_group_name_Hall 'P 1'
_cell_length_a 4.519
_cell_length_b 4.519
_cell_length_c 4.519
_cell_angle_alpha 60.00
_cell_angle_beta 60.00
_cell_angle_gamma 60.00
loop_
_atom_site_label
_atom_site_type_symbol
_atom_site_fract_x
_atom_site_fract_y
_atom_site_fract_z
Sc1 Sc 0.000 0.000 0.000
Sc2 Sc 0.250 0.250 0.250
Co1 Co 0.750 0.750 0.750
Tc1 Tc 0.500 0.500 0.500
```


[5]
Material: ScCoTc4
Method: DFT, PBE
State: optimized geometry

Cell and atoms, written as CIF:
```
data_ScCoTc4
_space_group_name_H-M_alt 'P 1'
_space_group_IT_number 1
_space_group_name_Hall 'P 1'
_cell_length_a 5.139
_cell_length_b 5.139
_cell_length_c 5.139
_cell_angle_alpha 60.00
_cell_angle_beta 60.00
_cell_angle_gamma 60.00
loop_
_atom_site_label
_atom_site_type_symbol
_atom_site_fract_x
_atom_site_fract_y
_atom_site_fract_z
Sc1 Sc 0.000 0.000 0.000
Co1 Co 0.250 0.250 0.250
Tc1 Tc 0.125 0.625 0.625
Tc2 Tc 0.625 0.125 0.625
Tc3 Tc 0.625 0.625 0.125
Tc4 Tc 0.625 0.625 0.625
```


[6]
Material: Sc2CoTc
Method: DFT, PBE
State: optimized geometry

Cell and atoms, written as CIF:
```
data_Sc2CoTc
_space_group_name_H-M_alt 'P 1'
_space_group_IT_number 1
_space_group_name_Hall 'P 1'
_cell_length_a 3.190
_cell_length_b 3.190
_cell_length_c 6.399
_cell_angle_alpha 90.00
_cell_angle_beta 90.00
_cell_angle_gamma 90.00
loop_
_atom_site_label
_atom_site_type_symbol
_atom_site_fract_x
_atom_site_fract_y
_atom_site_fract_z
Sc1 Sc 0.000 0.000 0.242
Sc2 Sc 0.000 0.000 0.758
Co1 Co 0.500 0.500 0.000
Tc1 Tc 0.500 0.500 0.500
```


[7]
Material: Sc2CoTc
Method: DFT, PBE
State: optimized geometry

Cell and atoms, written as CIF:
```
data_Sc2CoTc
_space_group_name_H-M_alt 'P 1'
_space_group_IT_number 1
_space_group_name_Hall 'P 1'
_cell_length_a 4.530
_cell_length_b 4.530
_cell_length_c 3.165
_cell_angle_alpha 90.00
_cell_angle_beta 90.00
_cell_angle_gamma 90.00
loop_
_atom_site_label
_atom_site_type_symbol
_atom_site_fract_x
_atom_site_fract_y
_atom_site_fract_z
Sc1 Sc 0.000 0.500 0.000
Sc2 Sc 0.500 0.000 0.000
Co1 Co 0.000 0.000 0.500
Tc1 Tc 0.500 0.500 0.500
```


[8]
Material: ScCo4Tc
Method: DFT, PBE
State: optimized geometry

Cell and atoms, written as CIF:
```
data_ScCo4Tc
_space_group_name_H-M_alt 'P 1'
_space_group_IT_number 1
_space_group_name_Hall 'P 1'
_cell_length_a 4.807
_cell_length_b 4.807
_cell_length_c 4.807
_cell_angle_alpha 60.00
_cell_angle_beta 60.00
_cell_angle_gamma 60.00
loop_
_atom_site_label
_atom_site_type_symbol
_atom_site_fract_x
_atom_site_fract_y
_atom_site_fract_z
Sc1 Sc 0.000 0.000 0.000
Co1 Co 0.375 0.375 0.375
Co2 Co 0.375 0.375 0.875
Co3 Co 0.375 0.875 0.375
Co4 Co 0.875 0.375 0.375
Tc1 Tc 0.750 0.750 0.750
```


[9]
Material: Sc2CoTc
Method: DFT, PBE
State: optimized geometry

Cell and atoms, written as CIF:
```
data_Sc2CoTc
_space_group_name_H-M_alt 'P 1'
_space_group_IT_number 1
_space_group_name_Hall 'P 1'
_cell_length_a 2.897
_cell_length_b 4.291
_cell_length_c 5.388
_cell_angle_alpha 90.00
_cell_angle_beta 90.00
_cell_angle_gamma 90.00
loop_
_atom_site_label
_atom_site_type_symbol
_atom_site_fract_x
_atom_site_fract_y
_atom_site_fract_z
Sc1 Sc 0.000 0.000 0.000
Sc2 Sc 0.500 0.500 0.333
Co1 Co 0.500 0.500 0.807
Tc1 Tc 0.000 0.000 0.525
```


[10]
Material: ScCoTc
Method: DFT, PBE
State: optimized geometry

Computed properties:
Relative energy among the computed polymorphs in meV per atom: 246

Cell and atoms, written as CIF:
```
data_ScCoTc
_space_group_name_H-M_alt 'P 1'
_space_group_IT_number 1
_space_group_name_Hall 'P 1'
_cell_length_a 6.056
_cell_length_b 6.056
_cell_length_c 6.056
_cell_angle_alpha 153.16
_cell_angle_beta 153.16
_cell_angle_gamma 38.33
loop_
_atom_site_label
_atom_site_type_symbol
_atom_site_fract_x
_atom_site_fract_y
_atom_site_fract_z
Sc1 Sc 0.000 0.000 0.000
Co1 Co 0.672 0.672 0.000
Tc1 Tc 0.304 0.304 0.000
```


[11]
Material: Sc6CoTc
Method: DFT, PBE
State: optimized geometry

Cell and atoms, written as CIF:
```
data_Sc6CoTc
_space_group_name_H-M_alt 'P 1'
_space_group_IT_number 1
_space_group_name_Hall 'P 1'
_cell_length_a 5.877
_cell_length_b 5.877
_cell_length_c 5.593
_cell_angle_alpha 90.00
_cell_angle_beta 90.00
_cell_angle_gamma 120.00
loop_
_atom_site_label
_atom_site_type_symbol
_atom_site_fract_x
_atom_site_fract_y
_atom_site_fract_z
Sc1 Sc 0.000 0.368 0.245
Sc2 Sc 0.000 0.632 0.755
Sc3 Sc 0.368 0.000 0.245
Sc4 Sc 0.368 0.368 0.755
Sc5 Sc 0.632 0.000 0.755
Sc6 Sc 0.632 0.632 0.245
Co1 Co 0.000 0.000 0.000
Tc1 Tc 0.000 0.000 0.500
```


[12]
Material: ScCo2Tc
Method: DFT, PBE
State: optimized geometry

Computed properties:
Relative energy among the computed polymorphs in meV per atom: 17

Cell and atoms, written as CIF:
```
data_ScCo2Tc
_space_group_name_H-M_alt 'P 1'
_space_group_IT_number 1
_space_group_name_Hall 'P 1'
_cell_length_a 4.305
_cell_length_b 4.305
_cell_length_c 4.305
_cell_angle_alpha 60.00
_cell_angle_beta 60.00
_cell_angle_gamma 60.00
loop_
_atom_site_label
_atom_site_type_symbol
_atom_site_fract_x
_atom_site_fract_y
_atom_site_fract_z
Sc1 Sc 0.000 0.000 0.000
Co1 Co 0.250 0.250 0.250
Co2 Co 0.750 0.750 0.750
Tc1 Tc 0.500 0.500 0.500
```


[13]
Material: Sc2CoTc
Method: DFT, PBE
State: optimized geometry

Cell and atoms, written as CIF:
```
data_Sc2CoTc
_space_group_name_H-M_alt 'P 1'
_space_group_IT_number 1
_space_group_name_Hall 'P 1'
_cell_length_a 9.095
_cell_length_b 9.095
_cell_length_c 9.095
_cell_angle_alpha 19.19
_cell_angle_beta 19.19
_cell_angle_gamma 19.19
loop_
_atom_site_label
_atom_site_type_symbol
_atom_site_fract_x
_atom_site_fract_y
_atom_site_fract_z
Sc1 Sc 0.000 0.000 0.000
Sc2 Sc 0.224 0.224 0.224
Co1 Co 0.482 0.482 0.482
Tc1 Tc 0.747 0.747 0.747
```


[14]
Material: ScCoTc
Method: DFT, PBE
State: optimized geometry

Computed properties:
Relative energy among the computed polymorphs in meV per atom: 517

Cell and atoms, written as CIF:
```
data_ScCoTc
_space_group_name_H-M_alt 'P 1'
_space_group_IT_number 1
_space_group_name_Hall 'P 1'
_cell_length_a 4.144
_cell_length_b 4.144
_cell_length_c 4.144
_cell_angle_alpha 60.00
_cell_angle_beta 60.00
_cell_angle_gamma 60.00
loop_
_atom_site_label
_atom_site_type_symbol
_atom_site_fract_x
_atom_site_fract_y
_atom_site_fract_z
Sc1 Sc 0.000 0.000 0.000
Co1 Co 0.750 0.750 0.750
Tc1 Tc 0.500 0.500 0.500
```


no.,E (eV per cell),ΔH_f (0 K) (meV per atom)
1,-66.84,-113
2,-20.80,999
3,-30.57,84
4,-29.85,70
5,-53.75,191
6,-30.87,-183
7,-30.85,-178
8,-45.61,-81
9,-29.74,100
10,-23.93,-42
11,-56.90,-180
12,-31.16,-62
13,-29.07,266
14,-23.12,229